(1)
Mg4Nb2O9: relaxed, PBEsol.

```
Mg4Nb2O9
1.0
-2.0850 3.6029 3.0844
-2.3415 -1.2778 -4.4414
-7.2861 -9.9576 6.7062
Nb O Mg
4 18 8
Direct
0.0000 0.0000 0.1418 Nb
0.0000 0.0000 0.3582 Nb
0.0000 0.0000 0.6418 Nb
0.0000 0.0000 0.8582 Nb
0.7101 0.0000 0.2500 O
0.0000 0.7101 0.2500 O
0.7101 0.7101 0.7500 O
0.6802 0.0295 0.9156 O
0.9705 0.6507 0.9156 O
0.3493 0.0295 0.4156 O
0.3493 0.3198 0.9156 O
0.0295 0.3493 0.0844 O
0.6802 0.6507 0.4156 O
0.2899 0.0000 0.7500 O
0.0000 0.2899 0.7500 O
0.6507 0.9705 0.5844 O
0.3198 0.9705 0.0844 O
0.0295 0.6802 0.5844 O
0.6507 0.6802 0.0844 O
0.2899 0.2899 0.2500 O
0.9705 0.3198 0.4156 O
0.3198 0.3493 0.5844 O
0.6667 0.3333 0.5168 Mg
0.6667 0.3333 0.3084 Mg
0.3333 0.6667 0.1916 Mg
0.3333 0.6667 0.4832 Mg
0.6667 0.3333 0.8084 Mg
0.3333 0.6667 0.9832 Mg
0.6667 0.3333 0.0168 Mg
0.3333 0.6667 0.6916 Mg
```

- SG: No. 165
- Crystal system: trigonal
- Formation energy (no corrections): -2.70 eV per atom

=====

(2)
CaMnCd2: relaxed, PBEsol.

```
CaMnCd2
1.0
-4.4180 1.6316 -1.4238
0.3405 -3.5054 3.4277
-1.1341 1.0125 4.6794
Mn Ca Cd
1 1 2
Direct
0.5000 0.0000 0.5000 Mn
0.7500 0.5000 0.7500 Ca
0.0000 0.0000 0.0000 Cd
0.2500 0.5000 0.2500 Cd
```

- SG: No. 119
- Crystal system: tetragonal

=====

VASP energy, respectively: -7.75 -3.41 eV/atom.
V, respectively: 10.881 21.007 A^3/atom.
Theoretical density, respectively: 4.3 6.3 g/cm³.